A plane-wave DFT calculation with GGA-PBE was carried out for La2Ga3Hg after structural relaxation.

Cell: 6.2059 6.2059 8.9111 Å, 109.20 109.20 93.19°
With the nearest neighbours (Å) after each atom.
Atoms (fractional coordinates):
Ga  0.3218  0.8389  0.1607  2 Ga 2.51, 1 Hg 2.70
Ga  0.6782  0.1611  0.8393  2 Ga 2.51, 1 Hg 2.70
Ga  0.1607  0.1607  0.3214  2 Ga 2.51, 1 Hg 2.69
Ga  0.8393  0.8393  0.6786  2 Ga 2.51, 1 Hg 2.69
Ga  0.1611  0.6782  0.8393  2 Ga 2.51, 1 Hg 2.70
Ga  0.8389  0.3218  0.1607  2 Ga 2.51, 1 Hg 2.70
Hg  0.3325  0.3325  0.6650  3 Ga 2.69-2.70
Hg  0.6675  0.6675  0.3350  3 Ga 2.69-2.70
La  0.2500  0.7500  0.5000  4 Hg 3.36, 8 Ga 3.40-3.41
La  0.7457  0.7457  0.0000  10 Ga 3.32-3.38, 2 Hg 3.36
La  0.7500  0.2500  0.5000  4 Hg 3.36, 8 Ga 3.40-3.41
La  0.2543  0.2543  0.0000  10 Ga 3.32-3.38, 2 Hg 3.36

Calculated values
Offset from the most stable computed form = 0.010 eV per atom
Total magnetic moment = 0.000 μB per atom
Symmetry = No. 69
Total energy = -45.7 eV per cell
Density = 7.589 g/cm3
D(E_F) = 0.88 states/eV per atom